1.
DFT (PBE) results for crystalline Tb2MgF at its relaxed geometry.

Formation energy from raw total energies (eV per formula unit): -3.36
Total DFT energy (no corrections) (eV per cell): -48.3
Fermi-level density of states (states/eV per cell): 10.78

```
data_Tb2MgF
_space_group_name_H-M_alt 'R -3 m'
_space_group_IT_number 166
_space_group_name_Hall '-R 3 2"'
_cell_length_a 3.3012
_cell_length_b 3.3012
_cell_length_c 30.6159
_cell_angle_alpha 90.00
_cell_angle_beta 90.00
_cell_angle_gamma 120.00
loop_
_atom_site_label
_atom_site_fract_x
_atom_site_fract_y
_atom_site_fract_z
Tb1 0.0000 0.0000 0.1062
Mg1 0.0000 0.0000 0.0000
F1 0.0000 0.0000 0.5000
```

2.
DFT (PBE) results for crystalline SiPd2I at its relaxed geometry.

Formation energy from raw total energies (eV per formula unit): -0.03
Total DFT energy (no corrections) (eV per cell): -69.6
Fermi-level density of states (states/eV per cell): 13.16

```
data_SiPd2I
_space_group_name_H-M_alt 'I -4 2 d'
_space_group_IT_number 122
_space_group_name_Hall 'I -4 2bw'
_cell_length_a 6.507
_cell_length_b 6.507
_cell_length_c 8.827
_cell_angle_alpha 90.00
_cell_angle_beta 90.00
_cell_angle_gamma 90.00
loop_
_atom_site_label
_atom_site_fract_x
_atom_site_fract_y
_atom_site_fract_z
Si1 0.000 0.000 0.000
Pd1 0.193 0.250 0.125
I1 0.000 0.000 0.500
```

3.
DFT (PBE) results for crystalline Y4TlAg at its relaxed geometry.

Formation energy (eV per atom): -0.02
Total DFT energy (no corrections) (eV per cell): -31.2
Fermi-level density of states (states/eV per cell): 7.36

```
data_Y4TlAg
_space_group_name_H-M_alt 'P 4/m m m'
_space_group_IT_number 123
_space_group_name_Hall '-P 4 2'
_cell_length_a 5.070
_cell_length_b 5.070
_cell_length_c 7.376
_cell_angle_alpha 90.00
_cell_angle_beta 90.00
_cell_angle_gamma 90.00
loop_
_atom_site_label
_atom_site_fract_x
_atom_site_fract_y
_atom_site_fract_z
Y1 0.000 0.500 0.239
Tl1 0.000 0.000 0.500
Ag1 0.500 0.500 0.000
```

4.
DFT (PBE) results for crystalline Tb6Er4Th at its relaxed geometry.

Formation energy (eV per atom): 0.15
Total DFT energy (no corrections) (eV per cell): -207.4
Fermi-level density of states (states/eV per cell): 83.23

```
data_Tb6Er4Th
_space_group_name_H-M_alt 'C m c m'
_space_group_IT_number 63
_space_group_name_Hall '-C 2c 2'
_cell_length_a 5.726
_cell_length_b 9.596
_cell_length_c 25.551
_cell_angle_alpha 90.00
_cell_angle_beta 90.00
_cell_angle_gamma 90.00
loop_
_atom_site_label
_atom_site_fract_x
_atom_site_fract_y
_atom_site_fract_z
Tb1 0.000 0.000 0.000
Tb2 0.000 0.037 0.250
Tb3 0.000 0.301 0.601
Tb4 0.000 0.371 0.182
Er1 0.000 0.041 0.122
Er2 0.000 0.346 0.042
Th1 0.000 0.299 0.750
```

5.
DFT (PBE) results for crystalline Ba2Na2As at its relaxed geometry.

Formation energy (eV per atom): -0.20
Total DFT energy (no corrections) (eV per cell): -24.2
Fermi-level density of states (states/eV per cell): 11.94

```
data_Ba2Na2As
_space_group_name_H-M_alt 'P 4/m b m'
_space_group_IT_number 127
_space_group_name_Hall '-P 4 2ab'
_cell_length_a 8.074
_cell_length_b 8.074
_cell_length_c 5.505
_cell_angle_alpha 90.00
_cell_angle_beta 90.00
_cell_angle_gamma 90.00
loop_
_atom_site_label
_atom_site_fract_x
_atom_site_fract_y
_atom_site_fract_z
Ba1 0.192 0.308 0.000
Na1 0.136 0.636 0.500
As1 0.000 0.000 0.500
```

6.
DFT (PBE) results for crystalline PmErPuIn at its relaxed geometry.

Formation energy (eV per atom): 0.02
Total DFT energy (no corrections) (eV per cell): -105.3
Fermi-level density of states (states/eV per cell): 41.06

```
data_PmErPuIn
_space_group_name_H-M_alt 'F -4 3 m'
_space_group_IT_number 216
_space_group_name_Hall 'F -4 2 3'
_cell_length_a 7.696
_cell_length_b 7.696
_cell_length_c 7.696
_cell_angle_alpha 90.00
_cell_angle_beta 90.00
_cell_angle_gamma 90.00
loop_
_atom_site_label
_atom_site_fract_x
_atom_site_fract_y
_atom_site_fract_z
Pm1 0.000 0.000 0.000
Er1 0.250 0.250 0.750
Pu1 0.250 0.250 0.250
In1 0.000 0.000 0.500
```

7.
DFT (PBE) results for crystalline CsINO2 at its relaxed geometry.

Formation energy from raw total energies (eV per formula unit): 7.31
Total DFT energy (no corrections) (eV per cell): -13.3
Fermi-level density of states (states/eV per cell): 5.14

```
data_CsINO2
_space_group_name_H-M_alt 'P 4/m m m'
_space_group_IT_number 123
_space_group_name_Hall '-P 4 2'
_cell_length_a 4.273
_cell_length_b 4.273
_cell_length_c 8.288
_cell_angle_alpha 90.00
_cell_angle_beta 90.00
_cell_angle_gamma 90.00
loop_
_atom_site_label
_atom_site_fract_x
_atom_site_fract_y
_atom_site_fract_z
Cs1 0.000 0.000 0.000
I1 0.000 0.000 0.500
N1 0.500 0.500 0.500
O1 0.000 0.500 0.000
```

8.
DFT (PBE) results for crystalline BeInB2O at its relaxed geometry.

Formation energy from raw total energies (eV per formula unit): 10.98
Total DFT energy (no corrections) (eV per cell): -13.8
Fermi-level density of states (states/eV per cell): 1.75

```
data_BeInB2O
_space_group_name_H-M_alt 'P 4/m m m'
_space_group_IT_number 123
_space_group_name_Hall '-P 4 2'
_cell_length_a 4.317
_cell_length_b 4.317
_cell_length_c 4.646
_cell_angle_alpha 90.00
_cell_angle_beta 90.00
_cell_angle_gamma 90.00
loop_
_atom_site_label
_atom_site_fract_x
_atom_site_fract_y
_atom_site_fract_z
Be1 0.000 0.000 0.000
In1 0.000 0.000 0.500
B1 0.000 0.500 0.500
O1 0.500 0.500 0.000
```

9.
DFT (PBE) results for crystalline Ta2Be2Cd at its relaxed geometry.

Formation energy (eV per atom): 0.06
Total DFT energy (no corrections) (eV per cell): -63.5
Fermi-level density of states (states/eV per cell): 6.12

```
data_Ta2Be2Cd
_space_group_name_H-M_alt 'P 4/m b m'
_space_group_IT_number 127
_space_group_name_Hall '-P 4 2ab'
_cell_length_a 6.262
_cell_length_b 6.262
_cell_length_c 3.638
_cell_angle_alpha 90.00
_cell_angle_beta 90.00
_cell_angle_gamma 90.00
loop_
_atom_site_label
_atom_site_fract_x
_atom_site_fract_y
_atom_site_fract_z
Ta1 0.168 0.332 0.000
Be1 0.118 0.618 0.500
Cd1 0.000 0.000 0.500
```

10.
DFT (PBE) results for crystalline BaLiCa2O at its relaxed geometry.

Formation energy from raw total energies (eV per formula unit): -5.15
Total DFT energy (no corrections) (eV per cell): -17.9
Fermi-level density of states (states/eV per cell): 3.05

```
data_BaLiCa2O
_space_group_name_H-M_alt 'P 4/m m m'
_space_group_IT_number 123
_space_group_name_Hall '-P 4 2'
_cell_length_a 4.806
_cell_length_b 4.806
_cell_length_c 6.077
_cell_angle_alpha 90.00
_cell_angle_beta 90.00
_cell_angle_gamma 90.00
loop_
_atom_site_label
_atom_site_fract_x
_atom_site_fract_y
_atom_site_fract_z
Ba1 0.000 0.000 0.000
Li1 0.500 0.500 0.000
Ca1 0.000 0.500 0.500
O1 0.000 0.000 0.500
```

11.
DFT (PBE) results for crystalline Nd2Ho4In at its relaxed geometry.

Formation energy (eV per atom): -0.07
Total DFT energy (no corrections) (eV per cell): -93.2
Fermi-level density of states (states/eV per cell): 33.75

```
data_Nd2Ho4In
_space_group_name_H-M_alt 'R -3 m'
_space_group_IT_number 166
_space_group_name_Hall '-R 3 2"'
_cell_length_a 3.6189
_cell_length_b 3.6189
_cell_length_c 58.6604
_cell_angle_alpha 90.00
_cell_angle_beta 90.00
_cell_angle_gamma 120.00
loop_
_atom_site_label
_atom_site_fract_x
_atom_site_fract_y
_atom_site_fract_z
Nd1 0.0000 0.0000 0.1933
Ho1 0.0000 0.0000 0.0906
Ho2 0.0000 0.0000 0.2910
In1 0.0000 0.0000 0.0000
```

12.
DFT (PBE) results for crystalline Sm4Y3In4 at its relaxed geometry.

Formation energy (eV per atom): -0.32
Total DFT energy (no corrections) (eV per cell): -105.6
Fermi-level density of states (states/eV per cell): 20.63

```
data_Sm4Y3In4
_space_group_name_H-M_alt 'I m m m'
_space_group_IT_number 71
_space_group_name_Hall '-I 2 2'
_cell_length_a 3.644
_cell_length_b 9.451
_cell_length_c 19.241
_cell_angle_alpha 90.00
_cell_angle_beta 90.00
_cell_angle_gamma 90.00
loop_
_atom_site_label
_atom_site_fract_x
_atom_site_fract_y
_atom_site_fract_z
Sm1 0.000 0.179 0.162
Y1 0.000 0.000 0.406
Y2 0.000 0.500 0.500
In1 0.000 0.280 0.000
In2 0.000 0.500 0.226
```